{
  "formula": "Er3Bi2Ru",
  "functional": "PBE",
  "state": "optimized geometry",
  "cell": [[3.5127, 0.0000, 0.0000], [0.0000, 6.0190, 0.0000], [0.0000, -3.0095, 8.2050]],
  "species": ["Bi", "Bi", "Ru", "Er", "Er", "Er"],
  "frac_coords": [[0.5000, 0.3282, 0.6565], [0.5000, 0.6718, 0.3435], [0.0000, 0.0000, 0.0000], [0.5000, 0.1243, 0.2486], [0.0000, 0.5000, 0.0000], [0.5000, 0.8757, 0.7514]],
  "dos_at_fermi_per_ev_cell": 3.7,
  "magmom_total_mub_per_fu": 0.00,
  "e_tot_ev_per_atom": -5.444,
  "space_group": "Cmmm",
  "formation_enthalpy_0k_mev_per_atom": -323
}

{
  "formula": "ZrNb2Co9",
  "functional": "PBE",
  "state": "optimized geometry",
  "cell": [[4.5558, 0.0000, 1.3559], [2.0761, 4.0553, 1.3559], [0.0221, 0.0135, 8.2577]],
  "species": ["Co", "Co", "Co", "Co", "Co", "Zr", "Co", "Nb", "Co", "Co", "Co", "Nb"],
  "frac_coords": [[0.3347, 0.3347, 0.9960], [0.9195, 0.4129, 0.2547], [0.0805, 0.5871, 0.7453], [0.4129, 0.9195, 0.2547], [0.5871, 0.0805, 0.7453], [0.0000, 0.0000, 0.0000], [0.6653, 0.6653, 0.0040], [0.8611, 0.8611, 0.4166], [0.5871, 0.5871, 0.7453], [0.4129, 0.4129, 0.2547], [0.5000, 0.5000, 0.5000], [0.1389, 0.1389, 0.5834]],
  "dos_at_fermi_per_ev_cell": 20.5,
  "magmom_total_mub_per_fu": 6.16,
  "e_tot_ev_per_atom": -7.885,
  "space_group": "R-3m",
  "formation_enthalpy_0k_mev_per_atom": -165
}

{
  "formula": "Tc2MoPSe",
  "functional": "PBE",
  "state": "optimized geometry",
  "cell": [[-2.1692, -1.8464, 3.5105], [-1.6442, -3.3856, -2.7967], [3.6359, -2.5247, 0.9187]],
  "species": ["Se", "Tc", "Tc", "P", "Mo"],
  "frac_coords": [[0.0000, 0.0000, 0.0000], [0.5000, 0.0000, 0.0000], [0.0000, 0.0000, 0.5000], [0.0000, 0.5000, 0.0000], [0.5000, 0.5000, 0.5000]],
  "dos_at_fermi_per_ev_cell": 5.4,
  "magmom_total_mub_per_fu": 1.79,
  "e_tot_ev_per_atom": -6.487,
  "e_above_lowest_polymorph_ev_per_atom": 0.2090,
  "space_group": "P4/mmm"
}

{
  "formula": "TaAgPt2",
  "functional": "PBE",
  "state": "optimized geometry",
  "cell": [[-3.9392, -1.5828, -2.7462], [-0.6488, -5.0121, 0.1492], [0.6339, 3.5800, 3.5137]],
  "species": ["Pt", "Ta", "Ag", "Pt"],
  "frac_coords": [[0.2501, 0.7501, 0.5000], [0.5000, 0.5000, 0.0000], [0.7500, 0.2500, 0.5000], [0.0000, 0.0000, 0.0000]],
  "dos_at_fermi_per_ev_cell": 3.2,
  "magmom_total_mub_per_fu": 0.00,
  "e_tot_ev_per_atom": -7.012,
  "space_group": "I-4m2",
  "formation_enthalpy_0k_mev_per_atom": -316
}

{
  "formula": "La2Sm2YCd5",
  "functional": "PBE",
  "state": "optimized geometry",
  "cell": [[4.8591, 0.0000, 0.0000], [0.0000, 10.7798, 0.0000], [0.0000, 0.0000, 10.7798]],
  "species": ["Sm", "Cd", "Y", "Sm", "La", "Cd", "Sm", "Sm", "Cd", "Cd", "Cd", "La", "La", "Cd", "Cd", "Cd", "Cd", "Y", "La", "Cd"],
  "frac_coords": [[0.0000, 0.1251, 0.6251], [0.5000, 0.8082, 0.9334], [0.0000, 0.5000, 0.5000], [0.0000, 0.8749, 0.3749], [0.0000, 0.8249, 0.6751], [0.5000, 0.5000, 0.0000], [0.0000, 0.3749, 0.1251], [0.0000, 0.6251, 0.8749], [0.5000, 0.9334, 0.1918], [0.5000, 0.3082, 0.5666], [0.5000, 0.4334, 0.3082], [0.0000, 0.1751, 0.3249], [0.0000, 0.6751, 0.1751], [0.5000, 0.1918, 0.0666], [0.5000, 0.0000, 0.5000], [0.5000, 0.6918, 0.4334], [0.5000, 0.5666, 0.6918], [0.0000, 0.0000, 0.0000], [0.0000, 0.3249, 0.8249], [0.5000, 0.0666, 0.8082]],
  "dos_at_fermi_per_ev_cell": 14.4,
  "magmom_total_mub_per_fu": 0.00,
  "e_tot_ev_per_atom": -3.246,
  "space_group": "P4/mbm",
  "formation_enthalpy_0k_mev_per_atom": -213
}

{
  "formula": "BeCoSeBr2",
  "functional": "PBE",
  "state": "optimized geometry",
  "cell": [[4.6961, 0.0000, 0.0000], [0.0000, 4.6961, 0.0000], [0.0000, 0.0000, 4.8728]],
  "species": ["Se", "Be", "Br", "Co", "Br"],
  "frac_coords": [[0.0000, 0.0000, 0.5000], [0.0000, 0.0000, 0.0000], [0.0000, 0.5000, 0.0000], [0.5000, 0.5000, 0.5000], [0.5000, 0.0000, 0.0000]],
  "dos_at_fermi_per_ev_cell": 5.3,
  "magmom_total_mub_per_fu": 2.95,
  "e_tot_ev_per_atom": -3.051,
  "e_above_lowest_polymorph_ev_per_atom": 0.0000,
  "space_group": "P4/mmm"
}

{
  "formula": "NaTaBPb2",
  "functional": "PBE",
  "state": "optimized geometry",
  "cell": [[-2.6305, 4.0591, 1.2843], [-2.8212, -2.6099, 2.4701], [2.9283, 0.6291, 4.0094]],
  "species": ["Ta", "Na", "Pb", "Pb", "B"],
  "frac_coords": [[0.5000, 0.5000, 0.5000], [0.0000, 0.5000, 0.0000], [0.0000, 0.0000, 0.5000], [0.5000, 0.0000, 0.0000], [0.0000, 0.0000, 0.0000]],
  "dos_at_fermi_per_ev_cell": 5.1,
  "magmom_total_mub_per_fu": 1.77,
  "e_tot_ev_per_atom": -4.101,
  "space_group": "P4/mmm",
  "formation_enthalpy_0k_mev_per_atom": 1353
}

{
  "formula": "TmCoAu",
  "functional": "PBE",
  "state": "optimized geometry",
  "cell": [[-0.6140, 2.7652, -2.6931], [-4.5617, -1.4943, -0.4944], [-0.3139, 2.7919, 5.7744]],
  "species": ["Co", "Au", "Co", "Au", "Tm", "Tm"],
  "frac_coords": [[0.7697, 0.1119, 0.5394], [0.4226, 0.2290, 0.8451], [0.2303, 0.8881, 0.4606], [0.5774, 0.7710, 0.1549], [0.1201, 0.3200, 0.2402], [0.8799, 0.6800, 0.7598]],
  "dos_at_fermi_per_ev_cell": 4.9,
  "magmom_total_mub_per_fu": 0.79,
  "e_tot_ev_per_atom": -5.397,
  "space_group": "C2/m",
  "formation_enthalpy_0k_mev_per_atom": -445
}

{
  "formula": "Y2TeN2",
  "functional": "PBE",
  "state": "optimized geometry",
  "cell": [[3.9059, 0.0000, 0.0000], [0.0000, 3.9059, 0.0000], [1.9530, 1.9530, 6.8028]],
  "species": ["Y", "Te", "Y", "N", "N"],
  "frac_coords": [[0.3352, 0.3352, 0.3295], [0.0000, 0.0000, 0.0000], [0.6648, 0.6648, 0.6705], [0.7500, 0.2500, 0.5000], [0.2500, 0.7500, 0.5000]],
  "dos_at_fermi_per_ev_cell": 2.9,
  "magmom_total_mub_per_fu": 0.00,
  "e_tot_ev_per_atom": -7.520,
  "space_group": "I4/mmm"
}

{
  "formula": "Nd12NiIr6",
  "functional": "PBE",
  "state": "optimized geometry",
  "cell": [[8.3812, -0.0807, -0.0967], [-1.3504, 8.2721, -0.0967], [-1.3504, -1.5733, 8.1217]],
  "species": ["Ir", "Nd", "Nd", "Nd", "Nd", "Nd", "Ir", "Ni", "Nd", "Nd", "Nd", "Ir", "Nd", "Nd", "Nd", "Ir", "Nd", "Ir", "Ir"],
  "frac_coords": [[0.6156, 0.3021, 0.1329], [0.0518, 0.6793, 0.9266], [0.8235, 0.5781, 0.4178], [0.9482, 0.3207, 0.0734], [0.0734, 0.9482, 0.3207], [0.1765, 0.4219, 0.5822], [0.1329, 0.6156, 0.3021], [0.0000, 0.0000, 0.0000], [0.9266, 0.0518, 0.6793], [0.4219, 0.5822, 0.1765], [0.5822, 0.1765, 0.4219], [0.8671, 0.3844, 0.6979], [0.3207, 0.0734, 0.9482], [0.4178, 0.8235, 0.5781], [0.5781, 0.4178, 0.8235], [0.3844, 0.6979, 0.8671], [0.6793, 0.9266, 0.0518], [0.3021, 0.1329, 0.6156], [0.6979, 0.8671, 0.3844]],
  "dos_at_fermi_per_ev_cell": 13.3,
  "magmom_total_mub_per_fu": 0.00,
  "e_tot_ev_per_atom": -6.607,
  "space_group": "R-3",
  "formation_enthalpy_0k_mev_per_atom": -493
}

{
  "formula": "In2IrPb",
  "functional": "PBE",
  "state": "optimized geometry",
  "cell": [[-3.1696, -0.3844, -4.1543], [4.5576, -2.1092, -1.4939], [-1.0349, -2.9916, 1.0664]],
  "species": ["In", "Pb", "In", "Ir"],
  "frac_coords": [[0.5000, 0.5000, 0.0000], [0.0000, 0.5000, 0.5000], [0.0000, 0.0000, 0.0000], [0.5000, 0.0000, 0.5000]],
  "dos_at_fermi_per_ev_cell": 2.5,
  "magmom_total_mub_per_fu": 0.00,
  "e_tot_ev_per_atom": -4.115,
  "space_group": "Cmmm",
  "formation_enthalpy_0k_mev_per_atom": 396
}

{
  "formula": "CeNd4N4",
  "functional": "PBE",
  "state": "optimized geometry",
  "cell": [[5.8885, 0.0000, 0.0000], [0.0000, 5.8885, 0.0000], [-2.9442, -2.9442, 5.6366]],
  "species": ["Nd", "Nd", "N", "Nd", "Nd", "N", "N", "N", "Ce"],
  "frac_coords": [[0.2822, 0.2822, 0.5645], [0.5000, 0.0000, 0.0000], [0.3548, 0.8902, 0.2450], [0.7178, 0.7178, 0.4355], [0.0000, 0.5000, 0.0000], [0.8902, 0.3548, 0.2450], [0.1098, 0.1098, 0.7550], [0.6452, 0.6452, 0.7550], [0.0000, 0.0000, 0.0000]],
  "dos_at_fermi_per_ev_cell": 5.1,
  "magmom_total_mub_per_fu": 3.20,
  "e_tot_ev_per_atom": -7.200,
  "e_above_lowest_polymorph_ev_per_atom": 0.5199,
  "space_group": "I-42m"
}